[1]
Density functional theory data (PBE-GGA) for an optimized crystal structure of Pr2PtBr.

Cell lengths 4.263, 4.263, 8.175 Å; angles 105.12, 90.00, 120.00 degrees
Fractional positions:
1 Pr 0.733 0.965 0.698
2 Br 0.500 0.500 0.000
3 Pr 0.267 0.035 0.302
4 Pt 0.000 0.500 0.500

## Properties
Excess energy over the best structure of this formula in the dataset in eV per atom: 0.0000

---

[2]
Density functional theory data (PBE-GGA) for an optimized crystal structure of TbZn2Hg.

Cell lengths 4.820, 4.820, 4.820 Å; angles 60.00, 60.00, 60.00 degrees
Fractional positions:
1 Zn 0.750 0.750 0.750
2 Tb 0.500 0.500 0.500
3 Zn 0.250 0.250 0.250
4 Hg 0.000 0.000 0.000

## Properties
Excess energy over the best structure of this formula in the dataset in eV per atom: 0.0298
Calculated formation energy in eV/f.u.: -1.1

---

[3]
Density functional theory data (PBE-GGA) for an optimized crystal structure of Y2ReBiSe.

Cell lengths 5.252, 5.437, 5.252 Å; angles 90.00, 90.00, 90.00 degrees
Fractional positions:
1 Se 0.000 0.000 0.000
2 Y 0.500 0.000 0.000
3 Re 0.500 0.500 0.500
4 Bi 0.000 0.500 0.000
5 Y 0.000 0.000 0.500

## Properties
Total energy in eV/atom: -5.90

---

[4]
Density functional theory data (PBE-GGA) for an optimized crystal structure of ZrPd2Au6.

Cell lengths 4.017, 6.628, 6.627 Å; angles 107.71, 107.64, 90.00 degrees
Fractional positions:
1 Au 0.721 0.836 0.442
2 Au 0.165 0.506 0.330
3 Au 0.609 0.167 0.218
4 Zr 0.500 0.500 0.000
5 Pd 0.949 0.177 0.899
6 Pd 0.051 0.823 0.101
7 Au 0.835 0.494 0.670
8 Au 0.279 0.164 0.558
9 Au 0.391 0.833 0.782

## Properties
Excess energy over the best structure of this formula in the dataset in eV per atom: 0.0000
Calculated formation energy in eV/f.u.: -2.8

---

no.,V (Å³/f.u.)
1,123
2,79
3,150
4,159